! PaBeCo2O8 (GGA+U, relaxed); values from VASP
! crystal system = trigonal
! symmetry = P-3
! electronic total energy = -6.621 eV/atom
! D(E_F) = 3.82 states/eV per cell
! calculated volume = 133.8 Å³/cell
&SYSTEM
  ibrav = 0, nat = 12, ntyp = 4
/
ATOMIC_SPECIES
Pa 231.04 Pa.upf
Be 9.01 Be.upf
Co 58.93 Co.upf
O 16.00 O.upf
ATOMIC_POSITIONS crystal
Pa 0.000 0.000 0.000
Be 0.000 0.000 0.500
Co 0.333 0.667 0.721
Co 0.667 0.333 0.279
O 0.042 0.288 0.693
O 0.246 0.958 0.693
O 0.288 0.246 0.307
O 0.333 0.667 0.998
O 0.667 0.333 0.002
O 0.712 0.754 0.693
O 0.754 0.042 0.307
O 0.958 0.712 0.307
CELL_PARAMETERS angstrom
4.988 0.000 0.000
-2.494 4.320 0.000
0.000 0.000 6.210